Entry 1:
# Ni6Pd, optimized geometry, DFT PBE
data_Ni6Pd
_cell_length_a 6.124
_cell_length_b 6.124
_cell_length_c 6.124
_cell_angle_alpha 90.00
_cell_angle_beta 90.00
_cell_angle_gamma 90.00
_space_group_name_H-M_alt 'I m -3 m'
_space_group_IT_number 229
_space_group_name_Hall '-I 4 2 3'
loop_
_atom_site_label
_atom_site_type_symbol
_atom_site_fract_x
_atom_site_fract_y
_atom_site_fract_z
_atom_site_occupancy
Ni1 Ni 0.000 0.250 0.500 1
Pd1 Pd 0.000 0.000 0.000 1
# - distance to the lowest polymorph of the same formula (meV/atom) = 952
# - formation enthalpy at 0 K (meV/atom) = 1063.2

Entry 2:
# Ni2Pd5, optimized geometry, DFT PBE
data_Ni2Pd5
_cell_length_a 12.191
_cell_length_b 4.668
_cell_length_c 7.083
_cell_angle_alpha 90.00
_cell_angle_beta 93.79
_cell_angle_gamma 90.00
_space_group_name_H-M_alt 'C 1 2/c 1'
_space_group_IT_number 15
loop_
_space_group_symop_operation_xyz
'x,y,z'
'-x,-y,-z'
'-x,y,-z+1/2'
'x,-y,z+1/2'
'x+1/2,y+1/2,z'
'-x+1/2,-y+1/2,-z'
'-x+1/2,y+1/2,-z+1/2'
'x+1/2,-y+1/2,z+1/2'
loop_
_atom_site_label
_atom_site_type_symbol
_atom_site_fract_x
_atom_site_fract_y
_atom_site_fract_z
_atom_site_occupancy
Ni1 Ni 0.071 0.176 0.108 1
Pd1 Pd 0.000 0.308 0.750 1
Pd2 Pd 0.135 0.322 0.460 1
Pd3 Pd 0.216 0.168 0.823 1
# - distance to the lowest polymorph of the same formula (meV/atom) = 41
# - formation enthalpy at 0 K (meV/atom) = 57.0

Entry 3:
# Ni17Pd2, optimized geometry, DFT PBE
data_Ni17Pd2
_cell_length_a 8.0728
_cell_length_b 8.0728
_cell_length_c 12.0393
_cell_angle_alpha 90.00
_cell_angle_beta 90.00
_cell_angle_gamma 120.00
_space_group_name_H-M_alt 'R -3 m'
_space_group_IT_number 166
_space_group_name_Hall '-R 3 2"'
loop_
_atom_site_label
_atom_site_type_symbol
_atom_site_fract_x
_atom_site_fract_y
_atom_site_fract_z
_atom_site_occupancy
Ni1 Ni 0.0000 0.0000 0.0995 1
Ni2 Ni 0.0000 0.3017 0.0000 1
Ni3 Ni 0.0000 0.5000 0.5000 1
Ni4 Ni 0.0044 0.5022 0.1505 1
Pd1 Pd 0.0000 0.0000 0.3364 1
# - formation enthalpy at 0 K (meV/atom) = 165.3

Calculated density values (in Mg/m³) by entry order: 6.6, 10.7, 8.9.